Record 1
Below is crystalline IrPdPt at its relaxed geometry, with properties calculated at the PBE-GGA level.

Properties
volume = 18.127 Å³/atom
VASP energy = -6.127 eV per atom
excess energy over the best structure of this formula in the dataset = 1.38 eV/f.u.
spin magnetization = 0.1 Bohr magnetons per cell
energy of formation from the pure elements = 0.568 eV per atom

Structure (POSCAR):
```
IrPdPt
1.0
6.014 0.000 0.000
0.000 6.014 0.000
0.000 0.000 6.014
Ir Pd Pt
4 4 4
Direct
0.000 0.000 0.000
0.000 0.500 0.500
0.500 0.000 0.500
0.500 0.500 0.000
0.250 0.250 0.750
0.250 0.750 0.250
0.750 0.250 0.250
0.750 0.750 0.750
0.250 0.250 0.250
0.250 0.750 0.750
0.750 0.250 0.750
0.750 0.750 0.250
```



Record 2
Below is crystalline Y3Sn2IrPdPt2 at its relaxed geometry, with properties calculated at the PBE-GGA level.

Properties
volume = 21.447 Å³/atom
VASP energy = -6.777 eV per atom
spin magnetization = 0.0 Bohr magnetons per cell

Structure (POSCAR):
```
Y3Sn2IrPdPt2
1.0
4.390 0.000 0.000
0.000 6.162 3.568
0.000 -6.162 3.568
Y Sn Ir Pd Pt
3 2 1 1 2
Direct
0.000 0.000 0.000
0.000 0.378 0.761
0.000 0.761 0.378
0.500 0.047 0.713
0.500 0.713 0.047
0.000 0.379 0.379
0.500 0.615 0.615
0.500 0.148 0.380
0.500 0.380 0.148
```



Record 3
Below is crystalline PuIrPd at its relaxed geometry, with properties calculated at the PBE-GGA level.

Properties
volume = 21.636 Å³/atom
VASP energy = -9.529 eV per atom
excess energy over the best structure of this formula in the dataset = 0.00 eV/f.u.
spin magnetization = 18.6 Bohr magnetons per cell
energy of formation from the pure elements = -0.143 eV per atom

Structure (POSCAR):
```
PuIrPd
1.0
6.380 0.000 0.000
0.000 6.380 0.000
0.000 0.000 6.380
Pu Ir Pd
4 4 4
Direct
0.000 0.000 0.000
0.000 0.500 0.500
0.500 0.000 0.500
0.500 0.500 0.000
0.250 0.250 0.250
0.250 0.750 0.750
0.750 0.250 0.750
0.750 0.750 0.250
0.000 0.000 0.500
0.000 0.500 0.000
0.500 0.000 0.000
0.500 0.500 0.500
```



Record 4
Below is crystalline PuIrPd at its relaxed geometry, with properties calculated at the PBE-GGA level.

Properties
volume = 20.648 Å³/atom
VASP energy = -8.880 eV per atom
excess energy over the best structure of this formula in the dataset = 1.95 eV/f.u.
spin magnetization = 0.0 Bohr magnetons per cell
energy of formation from the pure elements = 0.506 eV per atom

Structure (POSCAR):
```
PuIrPd
1.0
6.281 0.000 0.000
0.000 6.281 0.000
0.000 0.000 6.281
Pu Ir Pd
4 4 4
Direct
0.000 0.000 0.000
0.000 0.500 0.500
0.500 0.000 0.500
0.500 0.500 0.000
0.250 0.250 0.750
0.250 0.750 0.250
0.750 0.250 0.250
0.750 0.750 0.750
0.250 0.250 0.250
0.250 0.750 0.750
0.750 0.250 0.750
0.750 0.750 0.250
```



Record 5
Below is crystalline RbIrPd at its relaxed geometry, with properties calculated at the PBE-GGA level.

Properties
volume = 25.148 Å³/atom
VASP energy = -3.652 eV per atom
excess energy over the best structure of this formula in the dataset = 0.00 eV/f.u.
spin magnetization = 6.8 Bohr magnetons per cell

Structure (POSCAR):
```
RbIrPd
1.0
6.708 0.000 0.000
0.000 6.708 0.000
0.000 0.000 6.708
Rb Ir Pd
4 4 4
Direct
0.000 0.000 0.000
0.000 0.500 0.500
0.500 0.000 0.500
0.500 0.500 0.000
0.250 0.250 0.750
0.250 0.750 0.250
0.750 0.250 0.250
0.750 0.750 0.750
0.000 0.000 0.500
0.000 0.500 0.000
0.500 0.000 0.000
0.500 0.500 0.500
```



Record 6
Below is crystalline RbIrPd at its relaxed geometry, with properties calculated at the PBE-GGA level.

Properties
volume = 25.790 Å³/atom
VASP energy = -2.963 eV per atom
excess energy over the best structure of this formula in the dataset = 2.07 eV/f.u.
spin magnetization = 5.9 Bohr magnetons per cell

Structure (POSCAR):
```
RbIrPd
1.0
6.764 0.000 0.000
0.000 6.764 0.000
0.000 0.000 6.764
Rb Ir Pd
4 4 4
Direct
0.000 0.000 0.000
0.000 0.500 0.500
0.500 0.000 0.500
0.500 0.500 0.000
0.250 0.250 0.750
0.250 0.750 0.250
0.750 0.250 0.250
0.750 0.750 0.750
0.250 0.250 0.250
0.250 0.750 0.750
0.750 0.250 0.750
0.750 0.750 0.250
```



Record 7
Below is crystalline RbIrPdS3 at its relaxed geometry, with properties calculated at the PBE-GGA level.

Properties
volume = 22.994 Å³/atom
VASP energy = -5.039 eV per atom
spin magnetization = 0.0 Bohr magnetons per cell

Structure (POSCAR):
```
RbIrPdS3
1.0
8.176 0.000 0.000
0.000 3.715 0.000
-2.973 0.000 9.084
Rb Ir Pd S
2 2 2 6
Direct
0.222 0.250 0.254
0.778 0.750 0.746
0.336 0.750 0.859
0.664 0.250 0.141
0.102 0.250 0.583
0.898 0.750 0.417
0.148 0.250 0.859
0.276 0.750 0.597
0.471 0.750 0.120
0.529 0.250 0.880
0.724 0.250 0.403
0.852 0.750 0.141
```



Record 8
Below is crystalline Re2IrPd at its relaxed geometry, with properties calculated at the PBE-GGA level.

Properties
volume = 15.005 Å³/atom
VASP energy = -9.384 eV per atom
spin magnetization = 0.0 Bohr magnetons per cell
energy of formation from the pure elements = 0.335 eV per atom

Structure (POSCAR):
```
Re2IrPd
1.0
6.215 0.000 0.000
0.000 6.215 0.000
0.000 0.000 6.215
Re Ir Pd
8 4 4
Direct
0.000 0.000 0.000
0.000 0.500 0.500
0.250 0.250 0.250
0.250 0.750 0.750
0.500 0.000 0.500
0.500 0.500 0.000
0.750 0.250 0.750
0.750 0.750 0.250
0.250 0.250 0.750
0.250 0.750 0.250
0.750 0.250 0.250
0.750 0.750 0.750
0.000 0.000 0.500
0.000 0.500 0.000
0.500 0.000 0.000
0.500 0.500 0.500
```



- Look up the volume of the sixth one.
  25.790 Å³/atom



- Which value of spin magnetization does entry 5 give?
  6.8 Bohr magnetons per cell